(1)
Compound: PmErNiAg
Source: the Alexandria database
Functional: GGA-PBE
Structure: relaxed

It has space group F-43m (No. 216), with a = 7.0978 Å, b = 7.0978 Å, c = 7.0978 Å, α = 90.00°, β = 90.00° and γ = 90.00°. Symmetry generates all atoms from Pm at (0.0000, 0.0000, 0.0000), Er at (0.0000, 0.0000, 0.5000), Ni at (0.2500, 0.2500, 0.2500) and Ag at (0.2500, 0.2500, 0.7500).

The calculation puts the density of states at the Fermi level at 10.6 states/eV per cell. The formation energy comes out at -0.28 eV/atom. The value obtained for the calculated volume is 357.58 Å³ per cell. The calculation puts the spin magnetization at 0.00 μB/f.u.

(2)
Compound: La3Er2In3
Source: the Alexandria database
Functional: GGA-PBE
Structure: relaxed

It has space group Immm (No. 71), with a = 3.8846 Å, b = 5.5840 Å, c = 22.9886 Å, α = 90.00°, β = 90.00° and γ = 90.00°. Symmetry generates all atoms from La at (0.0000, 0.0000, 0.0000), La at (0.0000, 0.5000, 0.1236), Er at (0.0000, 0.0000, 0.2357), In at (0.0000, 0.0000, 0.5000) and In at (0.0000, 0.5000, 0.3741).

Its offset from the most stable computed form is 0.000 eV/atom. The calculation puts the density of states at the Fermi level at 19.6 states/eV per cell. The formation energy comes out at -0.37 eV/atom. The value obtained for the calculated volume is 498.65 Å³ per cell. The calculation puts the spin magnetization at 0.00 μB/f.u.

(3)
Compound: Ba3Na3Cd2
Source: the Alexandria database
Functional: GGA-PBE
Structure: relaxed

It has space group P-62m (No. 189), with a = 9.1964 Å, b = 9.1964 Å, c = 4.7094 Å, α = 90.00°, β = 90.00° and γ = 120.00°. Symmetry generates all atoms from Ba at (0.0000, 0.5839, 0.0000), Na at (0.0000, 0.2340, 0.5000) and Cd at (0.3333, 0.6667, 0.5000).

The calculation puts the density of states at the Fermi level at 7.7 states/eV per cell. The formation energy comes out at -0.14 eV/atom. The value obtained for the calculated volume is 344.94 Å³ per cell. The calculation puts the spin magnetization at 0.00 μB/f.u.

(4)
Compound: La2Ga2I
Source: the Alexandria database
Functional: GGA-PBE
Structure: relaxed

It has space group R-3m (No. 166, hexagonal axes), with a = 4.3246 Å, b = 4.3246 Å, c = 26.2826 Å, α = 90.00°, β = 90.00° and γ = 120.00°. Symmetry generates all atoms from La at (0.0000, 0.0000, 0.0800), Ga at (0.0000, 0.0000, 0.3257) and I at (0.0000, 0.0000, 0.5000).

The calculation puts the density of states at the Fermi level at 6.1 states/eV per cell. The value obtained for the calculated volume is 425.70 Å³ per cell. The calculation puts the spin magnetization at 0.00 μB/f.u. The calculation puts the uncorrected formation energy at -0.9268 eV per atom.